DFT (PBE-GGA) results for an optimized crystal structure of Ac4PmHo.

Cell and atoms, written as POSCAR:
```
Ac4PmHo
1.0
0.000 5.054 5.054
5.054 0.000 5.054
5.054 5.054 0.000
Ac Pm Ho
4 1 1
Cartesian
3.796 3.796 3.796
6.312 6.312 3.796
6.312 3.796 6.312
3.796 6.312 6.312
0.000 0.000 0.000
7.580 7.580 7.580
```

Calculated volume   258.1 Å³ per cell
Size of the total moment   0.0 μB per formula unit
Total energy   -3.93 eV/atom
E_form   367 meV/atom
SG   No. 216

DFT (PBE-GGA) results for an optimized crystal structure of BaCuSb2.

Cell and atoms, written as POSCAR:
```
BaCuSb2
1.0
2.386 1.378 6.019
-2.386 1.378 6.019
0.000 -2.755 6.019
Ba Cu Sb
1 1 2
Cartesian
0.000 0.000 0.000
0.000 0.000 9.028
0.000 0.000 3.764
0.000 0.000 14.292
```

Calculated volume   118.7 Å³ per cell
Size of the total moment   0.0 μB per formula unit
Total energy   -3.86 eV/atom
SG   No. 166

DFT (PBE-GGA) results for an optimized crystal structure of Hf2Sc2Co3.

Cell and atoms, written as POSCAR:
```
Hf2Sc2Co3
1.0
3.831 -2.216 0.000
3.831 2.216 0.000
-2.552 0.000 7.066
Hf Sc Co
2 2 3
Cartesian
0.001 0.000 2.664
5.109 0.000 4.402
2.554 0.000 0.917
2.557 0.000 6.149
0.000 0.000 0.000
0.003 0.000 5.273
5.107 0.000 1.793
```

Calculated volume   119.9 Å³ per cell
Size of the total moment   0.0 μB per formula unit
Total energy   -8.00 eV/atom
E_form   -298 meV/atom
SG   No. 12

DFT (PBE-GGA) results for an optimized crystal structure of BaIn2Hg6.

Cell and atoms, written as POSCAR:
```
BaIn2Hg6
1.0
6.628 0.000 0.000
-3.314 5.740 0.000
0.000 0.000 7.849
Ba In Hg
1 2 6
Cartesian
0.000 0.000 0.000
0.000 3.826 3.924
3.314 1.913 3.924
-1.657 2.870 1.493
-1.657 2.870 6.355
3.314 0.000 1.493
3.314 0.000 6.355
1.657 2.870 1.493
1.657 2.870 6.355
```

Calculated volume   298.6 Å³ per cell
Size of the total moment   0.0 μB per formula unit
Total energy   -1.14 eV/atom
E_form   -115 meV/atom
SG   No. 191

DFT (PBE-GGA) results for an optimized crystal structure of MgZnNi2.

Cell and atoms, written as POSCAR:
```
MgZnNi2
1.0
3.023 0.000 0.000
0.000 3.023 0.000
0.000 0.000 5.906
Mg Zn Ni
1 1 2
Cartesian
0.000 0.000 0.000
1.512 1.512 4.043
0.000 0.000 2.801
1.512 1.512 1.483
```

Calculated volume   54.0 Å³ per cell
Size of the total moment   0.0 μB per formula unit
Total energy   -3.69 eV/atom
E_form   -86 meV/atom
SG   No. 99

DFT (PBE-GGA) results for an optimized crystal structure of Tb6TlNi2.

Cell and atoms, written as POSCAR:
```
Tb6TlNi2
1.0
-4.674 4.914 5.086
4.674 -4.914 5.086
4.674 4.914 -5.086
Tb Tl Ni
12 2 4
Cartesian
4.674 2.904 -2.728
2.744 1.797 0.000
6.603 1.797 0.000
1.791 4.914 -1.786
2.883 0.000 3.299
0.000 2.009 2.358
4.674 2.904 2.728
1.791 4.914 1.786
2.883 0.000 6.872
-1.930 3.116 5.086
1.930 3.116 5.086
0.000 2.009 7.813
0.000 0.000 0.000
0.000 0.000 5.086
4.674 0.000 1.249
0.000 3.508 0.000
0.000 6.320 0.000
0.000 4.914 3.836
```

Calculated volume   467.2 Å³ per cell
Size of the total moment   0.0 μB per formula unit
Total energy   -4.94 eV/atom
E_form   -306 meV/atom
SG   No. 71

Look up the total energy of the first one. -3.93 eV/atom

The lowest calculated volume belongs to which entry? MgZnNi2